TcP2Br | the Alexandria database | GGA-PBE | relaxed; electronic total energy = -5.65 eV per atom; DOS at the Fermi energy = 0.286 states/eV per atom; symmetry = Pm, No. 6; excess energy over the best structure of this formula in the dataset = 110 meV/atom
1.0
3.735 0.000 0.000
0.000 3.806 0.000
-0.271 0.000 6.189
Tc P Br
1 2 1
Direct
0.000 0.000 0.000
0.175 0.500 0.832
0.508 0.000 0.752
0.910 0.500 0.301